Entry 1:
# LiCaDySe3 (PBE, relaxed)
# total DFT energy (no corrections): -4.896 eV per atom
data_LiCaDySe3
_symmetry_space_group_name_H-M 'P 1 21/m 1'
_symmetry_Int_Tables_number 11
_symmetry_space_group_name_Hall '-P 2yb'
_cell_length_a 8.453
_cell_length_b 4.075
_cell_length_c 8.850
_cell_angle_alpha 90.00
_cell_angle_beta 102.27
_cell_angle_gamma 90.00
loop_
_atom_site_label
_atom_site_fract_x
_atom_site_fract_y
_atom_site_fract_z
_atom_site_occupancy
Li1 0.085 0.250 0.084 1
Ca1 0.184 0.250 0.732 1
Dy1 0.332 0.750 0.331 1
Se1 0.103 0.250 0.370 1
Se2 0.221 0.750 0.003 1
Se3 0.428 0.750 0.667 1



Entry 2:
# LiCa2DySe4 (PBE, relaxed)
# total DFT energy (no corrections): -4.892 eV per atom
data_LiCa2DySe4
_symmetry_space_group_name_H-M 'P 1 2/m 1'
_symmetry_Int_Tables_number 10
_symmetry_space_group_name_Hall '-P 2y'
_cell_length_a 7.111
_cell_length_b 4.153
_cell_length_c 7.129
_cell_angle_alpha 90.00
_cell_angle_beta 108.78
_cell_angle_gamma 90.00
loop_
_atom_site_label
_atom_site_fract_x
_atom_site_fract_y
_atom_site_fract_z
_atom_site_occupancy
Li1 0.000 0.000 0.000 1
Ca1 0.000 0.500 0.500 1
Ca2 0.500 0.000 0.500 1
Dy1 0.500 0.500 0.000 1
Se1 0.250 0.500 0.242 1
Se2 0.252 0.000 0.762 1



Entry 3:
# LiCaDy2Se4 (PBE, relaxed)
# total DFT energy (no corrections): -5.176 eV per atom
data_LiCaDy2Se4
_symmetry_space_group_name_H-M 'P 1 2/m 1'
_symmetry_Int_Tables_number 10
_symmetry_space_group_name_Hall '-P 2y'
_cell_length_a 7.037
_cell_length_b 4.081
_cell_length_c 7.142
_cell_angle_alpha 90.00
_cell_angle_beta 109.22
_cell_angle_gamma 90.00
loop_
_atom_site_label
_atom_site_fract_x
_atom_site_fract_y
_atom_site_fract_z
_atom_site_occupancy
Li1 0.000 0.000 0.000 1
Ca1 0.500 0.500 0.000 1
Dy1 0.000 0.500 0.500 1
Dy2 0.500 0.000 0.500 1
Se1 0.244 0.000 0.748 1
Se2 0.246 0.500 0.251 1



Entry 4:
# LiCaDySi (PBE, relaxed)
# total DFT energy (no corrections): -3.769 eV per atom
data_LiCaDySi
_symmetry_space_group_name_H-M 'F -4 3 m'
_symmetry_Int_Tables_number 216
_symmetry_space_group_name_Hall 'F -4 2 3'
_cell_length_a 7.133
_cell_length_b 7.133
_cell_length_c 7.133
_cell_angle_alpha 90.00
_cell_angle_beta 90.00
_cell_angle_gamma 90.00
loop_
_atom_site_label
_atom_site_fract_x
_atom_site_fract_y
_atom_site_fract_z
_atom_site_occupancy
Li1 0.000 0.000 0.000 1
Ca1 0.250 0.250 0.750 1
Dy1 0.250 0.250 0.250 1
Si1 0.000 0.000 0.500 1



Entry 5:
# Li2CaDy2Si2 (PBE, relaxed)
# total DFT energy (no corrections): -4.074 eV per atom
data_Li2CaDy2Si2
_symmetry_space_group_name_H-M 'R -3 m'
_symmetry_Int_Tables_number 166
_symmetry_space_group_name_Hall '-R 3 2"'
_cell_length_a 4.5213
_cell_length_b 4.5213
_cell_length_c 26.6875
_cell_angle_alpha 90.00
_cell_angle_beta 90.00
_cell_angle_gamma 120.00
loop_
_atom_site_label
_atom_site_fract_x
_atom_site_fract_y
_atom_site_fract_z
_atom_site_occupancy
Li1 0.0000 0.0000 0.0951 1
Ca1 0.0000 0.0000 0.5000 1
Dy1 0.0000 0.0000 0.3718 1
Si1 0.0000 0.0000 0.2455 1



Entry 6:
# LiCaDySn (PBE, relaxed)
# formation energy from the elements: -409.7 meV/atom
data_LiCaDySn
_symmetry_space_group_name_H-M 'F -4 3 m'
_symmetry_Int_Tables_number 216
_symmetry_space_group_name_Hall 'F -4 2 3'
_cell_length_a 7.487
_cell_length_b 7.487
_cell_length_c 7.487
_cell_angle_alpha 90.00
_cell_angle_beta 90.00
_cell_angle_gamma 90.00
loop_
_atom_site_label
_atom_site_fract_x
_atom_site_fract_y
_atom_site_fract_z
_atom_site_occupancy
Li1 0.000 0.000 0.000 1
Ca1 0.250 0.250 0.750 1
Dy1 0.250 0.250 0.250 1
Sn1 0.000 0.000 0.500 1



Entry 7:
# LiCa3Dy3Te8 (PBE, relaxed)
# total DFT energy (no corrections): -4.521 eV per atom
data_LiCa3Dy3Te8
_symmetry_space_group_name_H-M 'R -3 m'
_symmetry_Int_Tables_number 166
_symmetry_space_group_name_Hall '-R 3 2"'
_cell_length_a 8.7999
_cell_length_b 8.7999
_cell_length_c 21.8796
_cell_angle_alpha 90.00
_cell_angle_beta 90.00
_cell_angle_gamma 120.00
loop_
_atom_site_label
_atom_site_fract_x
_atom_site_fract_y
_atom_site_fract_z
_atom_site_occupancy
Li1 0.0000 0.0000 0.0000 1
Ca1 0.0000 0.5000 0.5000 1
Dy1 0.0000 0.5000 0.0000 1
Te1 0.0000 0.0000 0.2522 1
Te2 0.0015 0.5007 0.2540 1



Entry 8:
# LiCa4Dy3Te8 (PBE, relaxed)
# total DFT energy (no corrections): -4.517 eV per atom
data_LiCa4Dy3Te8
_symmetry_space_group_name_H-M 'R -3 m'
_symmetry_Int_Tables_number 166
_symmetry_space_group_name_Hall '-R 3 2"'
_cell_length_a 8.8229
_cell_length_b 8.8229
_cell_length_c 21.7599
_cell_angle_alpha 90.00
_cell_angle_beta 90.00
_cell_angle_gamma 120.00
loop_
_atom_site_label
_atom_site_fract_x
_atom_site_fract_y
_atom_site_fract_z
_atom_site_occupancy
Li1 0.0000 0.0000 0.0000 1
Ca1 0.0000 0.0000 0.5000 1
Ca2 0.0000 0.5000 0.5000 1
Dy1 0.0000 0.5000 0.0000 1
Te1 0.0000 0.0000 0.2519 1
Te2 0.0030 0.5015 0.7468 1



Which formula does entry 7 have?
LiCa3Dy3Te8